A plane-wave DFT calculation with PBE+U was carried out for a relaxed structure of KMn2PF.

Properties
Total moment: 9.0 μB per cell
Excess energy over the best structure of this formula in the dataset: 0.0 meV per atom
Symmetry: P4/mmm, No. 123

Geometry as CIF:
```
data_KMn2PF
_chemical_formula_sum 'K1 Mn2 P1 F1'
_cell_length_a 4.617
_cell_length_b 6.972
_cell_length_c 4.617
_cell_angle_alpha 90.00
_cell_angle_beta 90.00
_cell_angle_gamma 90.00
_symmetry_space_group_name_H-M 'P 1'
_symmetry_Int_Tables_number 1
_symmetry_space_group_name_Hall 'P 1'
loop_
_atom_site_label
_atom_site_fract_x
_atom_site_fract_y
_atom_site_fract_z
_atom_site_occupancy
Mn1 0.000 0.000 0.500 1
Mn2 0.500 0.000 0.000 1
P1 0.000 0.000 0.000 1
K1 0.000 0.500 0.000 1
F1 0.500 0.500 0.500 1
```